No. 1
Compound: VZnReSb2
Source: Alexandria via LeMat-Bulk
Functional: GGA-PBE
Structure: relaxed

abc: 5.0053 5.0053 4.6382
angles: 90.00 90.00 90.00
Closest atoms and distances in Å follow each position.
Element x y z (fractional)
V  0.0000  0.0000  0.0000  8 Sb 3.41, 4 Re 3.54
Zn  0.5000  0.5000  0.5000  2 Re 2.32, 4 Sb 2.50
Re  0.5000  0.5000  0.0000  2 Zn 2.32
Sb  0.0000  0.5000  0.5000  2 Zn 2.50
Sb  0.5000  0.0000  0.5000  2 Zn 2.50

The crystal system is tetragonal. The raw total energy comes out at -4.53 eV per atom. The value obtained for the uncorrected formation energy is 1.685 eV per atom.

No. 2
Compound: CoSiOs2
Source: Alexandria via LeMat-Bulk
Functional: GGA-PBE
Structure: relaxed

abc: 2.7644 4.2479 4.5227
angles: 90.00 90.00 90.00
Closest atoms and distances in Å follow each position.
Element x y z (fractional)
Co  0.0000  0.0000  0.0000  4 Os 2.53, 4 Si 2.65, 2 Co 2.76
Si  0.5000  0.0000  0.5000  4 Os 2.53, 4 Co 2.65, 2 Si 2.76
Os  0.0000  0.5000  0.5000  4 Si 2.53, 6 Os 2.65-2.76
Os  0.5000  0.5000  0.0000  4 Co 2.53, 6 Os 2.65-2.76

The crystal system is orthorhombic. The raw total energy comes out at -8.52 eV per atom. The value obtained for the uncorrected formation energy is 0.225 eV per atom.

No. 3
Compound: CsHfTe4Au
Source: Alexandria via LeMat-Bulk
Functional: GGA-PBE
Structure: relaxed

abc: 7.3342 6.3085 10.7217
angles: 90.00 107.58 90.00
Closest atoms and distances in Å follow each position.
Element x y z (fractional)
Cs  0.1454  0.2500  0.4481  4 Te 3.73-3.97, 2 Au 4.11, 2 Cs 4.14
Cs  0.8546  0.7500  0.5519  4 Te 3.73-3.97, 2 Au 4.11, 2 Cs 4.14
Hf  0.2905  0.7500  0.0630  6 Te 2.95-3.05, 1 Au 3.03
Hf  0.7095  0.2500  0.9370  6 Te 2.95-3.05, 1 Au 3.03
Te  0.1347  0.2500  0.0760  1 Au 2.75, 1 Hf 3.02
Te  0.3312  0.7500  0.3456  1 Au 2.62
Te  0.3473  0.5124  0.8297  1 Au 2.84, 1 Te 3.00, 2 Hf 3.05
Te  0.3473  0.9876  0.8297  1 Au 2.84, 1 Te 3.00, 2 Hf 3.05
Te  0.6527  0.0124  0.1703  1 Au 2.84, 1 Te 3.00, 2 Hf 3.05
Te  0.6527  0.4876  0.1703  1 Au 2.84, 1 Te 3.00, 2 Hf 3.05
Te  0.6688  0.2500  0.6544  1 Au 2.62
Te  0.8653  0.7500  0.9240  1 Au 2.75, 1 Hf 3.02
Au  0.0234  0.2500  0.8067  4 Te 2.62-2.84
Au  0.9766  0.7500  0.1933  4 Te 2.62-2.84

The crystal system is monoclinic. The raw total energy comes out at -4.34 eV per atom. The value obtained for the uncorrected formation energy is -0.538 eV per atom.

No. 4
Compound: Er2SnRh3
Source: Alexandria via LeMat-Bulk
Functional: GGA-PBE
Structure: relaxed

abc: 4.7306 4.7306 11.5103
angles: 90.00 90.00 120.00
Closest atoms and distances in Å follow each position.
Element x y z (fractional)
Er  0.0000  0.0000  0.0000  8 Rh 2.91
Er  0.0000  0.0000  0.5000  8 Rh 2.85-2.88
Er  0.3333  0.6667  0.1757  8 Rh 2.82-3.02
Er  0.6667  0.3333  0.8243  8 Rh 2.82-3.02
Sn  0.3333  0.6667  0.6652  8 Rh 2.81-2.91
Sn  0.6667  0.3333  0.3348  8 Rh 2.81-2.91
Rh  0.0000  0.0000  0.2525  5 Er 2.85-2.91, 3 Sn 2.89
Rh  0.0000  0.0000  0.7475  5 Er 2.85-2.91, 3 Sn 2.89
Rh  0.3333  0.6667  0.4209  4 Sn 2.81-2.91, 4 Er 2.82-2.88
Rh  0.3333  0.6667  0.9132  1 Sn 2.85, 7 Er 2.91-3.02
Rh  0.6667  0.3333  0.0868  1 Sn 2.85, 7 Er 2.91-3.02
Rh  0.6667  0.3333  0.5791  4 Sn 2.81-2.91, 4 Er 2.82-2.88

The crystal system is trigonal. The raw total energy comes out at -6.72 eV per atom. The energy of formation is -493 kJ/mol of formula units.

No. 5
Compound: In2Cu2Pd
Source: Alexandria via LeMat-Bulk
Functional: GGA-PBE
Structure: relaxed

abc: 7.9383 7.9383 7.9383
angles: 155.21 155.21 35.34
Closest atoms and distances in Å follow each position.
Element x y z (fractional)
In  0.1041  0.1041  0.0000  4 Cu 2.79, 4 Pd 2.88
In  0.8959  0.8959  0.0000  4 Cu 2.79, 4 Pd 2.88
Cu  0.2500  0.7500  0.5000  4 Cu 2.41
Cu  0.7500  0.2500  0.5000  4 Cu 2.41
Pd  0.5000  0.5000  0.0000  8 In 2.88

The calculation puts the offset from the most stable computed form at 0 meV per atom. The crystal system is tetragonal. The raw total energy comes out at -3.88 eV per atom. The energy of formation is -52 kJ/mol of formula units.

No. 6
Compound: Ga6SnS8
Source: Alexandria via LeMat-Bulk
Functional: GGA-PBE
Structure: relaxed

abc: 6.8302 6.8302 6.8302
angles: 92.09 92.09 92.09
Closest atoms and distances in Å follow each position.
Element x y z (fractional)
Ga  0.1253  0.3851  0.6024  4 S 2.41-2.47
Ga  0.3851  0.6024  0.1253  4 S 2.41-2.47
Ga  0.3976  0.8748  0.6149  4 S 2.41-2.47
Ga  0.6024  0.1253  0.3851  4 S 2.41-2.47
Ga  0.6149  0.3976  0.8747  4 S 2.41-2.47
Ga  0.8747  0.6149  0.3976  4 S 2.41-2.47
Sn  0.0000  0.0000  0.0000  6 S 2.88
S  0.1751  0.8095  0.3278  3 Ga 2.45-2.47
S  0.1905  0.6722  0.8249  3 Ga 2.45-2.47
S  0.3221  0.3221  0.3221  3 Ga 2.41
S  0.3278  0.1751  0.8095  3 Ga 2.45-2.47
S  0.6722  0.8249  0.1905  3 Ga 2.45-2.47
S  0.6779  0.6779  0.6779  3 Ga 2.41
S  0.8095  0.3278  0.1751  3 Ga 2.45-2.47
S  0.8249  0.1905  0.6722  3 Ga 2.45-2.47

The crystal system is trigonal. The raw total energy comes out at -4.05 eV per atom. The value obtained for the uncorrected formation energy is -0.370 eV per atom.

No. 7
Compound: Mg3TiAu
Source: Alexandria via LeMat-Bulk
Functional: GGA-PBE
Structure: relaxed

abc: 4.9744 4.9744 4.9744
angles: 90.00 90.00 90.00
Closest atoms and distances in Å follow each position.
Element x y z (fractional)
Mg  0.0000  0.0000  0.5000  2 Au 2.49
Mg  0.0000  0.5000  0.0000  2 Au 2.49
Mg  0.5000  0.0000  0.0000  2 Au 2.49
Ti  0.5000  0.5000  0.5000  12 Mg 3.52
Au  0.0000  0.0000  0.0000  6 Mg 2.49

The calculation puts the offset from the most stable computed form at 0 meV per atom. The crystal system is cubic. The raw total energy comes out at -2.82 eV per atom. The energy of formation is 178 kJ/mol of formula units.

No. 8
Compound: Pr5Sm5Cd2
Source: Alexandria via LeMat-Bulk
Functional: GGA-PBE
Structure: relaxed

abc: 6.8224 6.8224 11.3584
angles: 90.12 90.12 48.38
Closest atoms and distances in Å follow each position.
Element x y z (fractional)
Pr  0.0000  0.0000  0.0000  2 Cd 3.40, 6 Sm 3.62
Pr  0.3199  0.3199  0.5341  1 Cd 3.25, 3 Pr 3.38-3.51, 2 Sm 3.60
Pr  0.4801  0.4801  0.2482  2 Cd 3.22, 1 Sm 3.49, 1 Pr 3.51
Pr  0.5199  0.5199  0.7518  2 Cd 3.22, 1 Sm 3.49, 1 Pr 3.51
Pr  0.6801  0.6801  0.4659  1 Cd 3.25, 3 Pr 3.38-3.51, 2 Sm 3.60
Sm  0.0000  0.0000  0.5000  2 Cd 3.38, 4 Pr 3.60, 2 Sm 3.66
Sm  0.1832  0.1832  0.2481  2 Cd 3.49, 7 Pr 3.62-3.77, 4 Sm 3.63-3.70
Sm  0.3180  0.3180  0.9649  1 Cd 3.23, 2 Sm 3.37, 1 Pr 3.49
Sm  0.6820  0.6820  0.0351  1 Cd 3.23, 2 Sm 3.37, 1 Pr 3.49
Sm  0.8168  0.8168  0.7519  2 Cd 3.49, 7 Pr 3.62-3.77, 4 Sm 3.63-3.70
Cd  0.1488  0.1488  0.7493  4 Pr 3.22-3.40, 4 Sm 3.23-3.49
Cd  0.8512  0.8512  0.2507  4 Pr 3.22-3.40, 4 Sm 3.23-3.49

The crystal system is monoclinic. The raw total energy comes out at -4.17 eV per atom. The energy of formation is -75 kJ/mol of formula units.

Q: What is the raw total energy in the eighth record?
A: -4.17 eV per atom

Q: Among the records above, which one has the lowest raw total energy?
A: CoSiOs2

Q: What is the raw total energy in the first record?
A: -4.53 eV per atom

Q: raw total energy of number 3 (CsHfTe4Au)?
A: -4.34 eV per atom